VASP calculation (GGA-PBE) on a relaxed GaAg5 crystal.

It has space group C2/m (No. 12), with a = 9.333 Å, b = 4.176 Å, c = 5.774 Å, α = 90.00°, β = 109.90° and γ = 90.00°. The inequivalent atoms are Ga at (0.000, 0.000, 0.000), Ag at (0.000, 0.000, 0.500), Ag at (0.160, 0.500, 0.326) and Ag at (0.172, 0.500, 0.832).

For the calculated volume, the calculation gives 17.63 Å³/atom. The total energy is -2.88 eV/atom. Its formation enthalpy at 0 K is 0.02 eV/f.u. The value obtained for the density of states at the Fermi level is 0.245 states/eV/atom.